# Cs2SnHg

A geometry-optimized Cs2SnHg structure (PBE-GGA, the Alexandria database).

## Properties
Its energy above the most stable polymorph in this dataset is 512 meV/atom. The energy of formation is 0.243 eV per atom. The volume comes out at 589.2 Å³ per cell. As for the magnetic moment: 0.000 Bohr magnetons per cell.

a b c (Å): 4.1398 4.1398 39.7010
angles (deg): 90.00 90.00 120.00
Space group R-3m (No. 166, hexagonal axes)
One atom of each set of equivalent atoms:
Cs1 0.0000 0.0000 0.0932 x6
Sn1 0.0000 0.0000 0.0000 x3
Hg1 0.0000 0.0000 0.5000 x3